# SCAN ScBe2Pt, single point on PBEsol structure
# Relative energy among the computed polymorphs   0.2667 eV/atom
# Mass density   8.1 g cm⁻³
# E   -23.85 eV per atom
data_ScBe2Pt
_chemical_formula_sum 'Sc1 Be2 Pt1'
_symmetry_space_group_name_H-M 'P 1'
_symmetry_Int_Tables_number 1
_cell_length_a 2.949
_cell_length_b 2.949
_cell_length_c 6.074
_cell_angle_alpha 90.00
_cell_angle_beta 90.00
_cell_angle_gamma 90.00
loop_
_symmetry_equiv_pos_as_xyz
'x,y,z'
loop_
_atom_site_label
_atom_site_type_symbol
_atom_site_fract_x
_atom_site_fract_y
_atom_site_fract_z
_atom_site_occupancy
Be1 Be 0.000 0.000 0.195 1
Be2 Be 0.000 0.000 0.805 1
Sc1 Sc 0.500 0.500 0.500 1
Pt1 Pt 0.500 0.500 0.000 1